Computed, not measured: CrAgW2 at its PBEsol-relaxed geometry at the meta-GGA SCAN level of DFT.

Calculated values
- total magnetic moment (μB/f.u.) = 2.83
- formation enthalpy at 0 K (eV per atom) = 0.56
- energy above the lowest structure with this stoichiometry (kJ/mol of formula units) = 15.6

Lattice parameters (Å, degrees): 2.755 2.755 27.888 90.00 90.00 120.00
Fractional positions:
Cr (0.000, 0.000, 0.000)
Cr (0.333, 0.667, 0.667)
Cr (0.667, 0.333, 0.333)
Ag (0.000, 0.000, 0.251)
Ag (0.333, 0.667, 0.917)
Ag (0.667, 0.333, 0.584)
W (0.000, 0.000, 0.496)
W (0.000, 0.000, 0.743)
W (0.333, 0.667, 0.162)
W (0.333, 0.667, 0.410)
W (0.667, 0.333, 0.076)
W (0.667, 0.333, 0.829)

=====

Computed, not measured: Li7Mn2Co3O12 at its PBEsol-relaxed geometry at the meta-GGA SCAN level of DFT.

Calculated values
- raw formation energy (eV per formula unit) = -49.92
- total magnetic moment (μB/f.u.) = 5.94
- energy above the lowest structure with this stoichiometry (kJ/mol of formula units) = 62.7

Lattice parameters (Å, degrees): 4.945 5.624 7.406 78.99 71.11 89.85
Fractional positions:
Li (0.000, 0.000, 0.000)
Li (0.001, 0.653, 0.335)
Li (0.002, 0.465, 0.996)
Li (0.009, 0.141, 0.326)
Li (0.493, 0.231, 0.999)
Li (0.975, 0.313, 0.684)
Li (0.989, 0.813, 0.670)
Mn (0.496, 0.392, 0.333)
Mn (0.498, 0.736, 0.998)
Co (0.493, 0.066, 0.671)
Co (0.493, 0.563, 0.671)
Co (0.498, 0.898, 0.332)
O (0.267, 0.278, 0.817)
O (0.268, 0.926, 0.166)
O (0.269, 0.451, 0.172)
O (0.276, 0.776, 0.829)
O (0.279, 0.105, 0.493)
O (0.280, 0.607, 0.495)
O (0.707, 0.854, 0.510)
O (0.712, 0.356, 0.512)
O (0.718, 0.685, 0.174)
O (0.723, 0.536, 0.837)
O (0.724, 0.011, 0.835)
O (0.727, 0.188, 0.187)

=====

Computed, not measured: Mn2ReRu at its PBEsol-relaxed geometry at the meta-GGA SCAN level of DFT.

Calculated values
- total magnetic moment (μB/f.u.) = 4.81
- formation enthalpy at 0 K (eV per atom) = 0.08

Lattice parameters (Å, degrees): 8.490 2.618 4.544 90.00 100.23 90.00
Fractional positions:
Mn (0.248, 0.000, 0.241)
Mn (0.252, 0.500, 0.759)
Mn (0.748, 0.500, 0.241)
Mn (0.752, 0.000, 0.759)
Re (0.000, 0.000, 0.500)
Re (0.500, 0.500, 0.500)
Ru (0.000, 0.500, 0.000)
Ru (0.500, 0.000, 0.000)

=====

Computed, not measured: AlTeSe2 at its PBEsol-relaxed geometry at the meta-GGA SCAN level of DFT.

Calculated values
- raw formation energy (eV per formula unit) = -0.62
- total magnetic moment (μB/f.u.) = 0.00
- energy above the lowest structure with this stoichiometry (kJ/mol of formula units) = 138.9

Lattice parameters (Å, degrees): 3.770 3.770 22.409 90.00 90.00 120.00
Fractional positions:
Al (0.000, 0.000, 0.000)
Al (0.333, 0.667, 0.667)
Al (0.667, 0.333, 0.333)
Te (0.000, 0.000, 0.752)
Te (0.333, 0.667, 0.418)
Te (0.667, 0.333, 0.085)
Se (0.000, 0.000, 0.277)
Se (0.000, 0.000, 0.502)
Se (0.333, 0.667, 0.169)
Se (0.333, 0.667, 0.944)
Se (0.667, 0.333, 0.611)
Se (0.667, 0.333, 0.835)